Below is a relaxed SiRuO2 crystal, with properties calculated at the PBEsol level.

Structure (POSCAR):
```
SiRuO2
1.0
-1.990 -1.312 1.348
-2.107 -1.077 -1.378
1.744 -6.122 -0.603
Si Ru O
1 1 2
Direct
0.500 0.500 0.500
0.000 0.000 0.000
0.118 0.118 0.647
0.882 0.882 0.353
```

Calculated values
Calculated total energy = -7.69 eV/atom
Formation energy without anion corrections = -1.088 eV per atom
DOS at the Fermi energy = 0.440 states/eV/atom
Density = 6.651 g/cm³

=====

Below is a relaxed CoCu2Ru crystal, with properties calculated at the PBEsol level.

Structure (POSCAR):
```
CoCu2Ru
1.0
-2.242 0.809 -0.511
0.245 -1.942 -4.153
-1.738 -2.795 3.201
Ru Cu Co
1 2 1
Direct
0.500 0.000 0.000
0.000 0.000 0.500
0.000 0.500 0.000
0.500 0.500 0.500
```

Calculated values
Calculated total energy = -6.35 eV/atom
ΔE_f = 1.2 eV per formula unit
DOS at the Fermi energy = 0.991 states/eV/atom
E above lowest polymorph = 0 meV per atom
Density = 10.089 g/cm³

=====

Below is a relaxed Cr2AgRh crystal, with properties calculated at the PBEsol level.

Structure (POSCAR):
```
Cr2AgRh
1.0
-0.428 -2.088 -1.506
1.534 1.019 -1.849
6.144 -3.532 3.150
Cr Rh Ag
2 1 1
Direct
0.000 0.000 0.232
0.000 0.000 0.768
0.500 0.500 0.000
0.500 0.500 0.500
```

Calculated values
Calculated total energy = -7.62 eV/atom
ΔE_f = 1.5 eV per formula unit
DOS at the Fermi energy = 1.162 states/eV/atom
Density = 9.895 g/cm³

=====

Below is a relaxed CoTc crystal, with properties calculated at the PBEsol level.

Structure (POSCAR):
```
CoTc
1.0
2.546 0.000 0.000
0.000 3.950 0.000
-1.273 0.000 4.720
Co Tc
2 2
Direct
0.568 0.750 0.135
0.432 0.250 0.865
0.164 0.250 0.329
0.836 0.750 0.671
```

Calculated values
Calculated total energy = -9.53 eV/atom
ΔE_f = -0.1 eV per formula unit
DOS at the Fermi energy = 0.839 states/eV/atom
E above lowest polymorph = 57 meV per atom
Density = 10.978 g/cm³

=====

Below is a relaxed YCdRu2 crystal, with properties calculated at the PBEsol level.

Structure (POSCAR):
```
YCdRu2
1.0
2.916 -0.024 0.000
-1.085 2.707 0.000
0.000 0.000 8.753
Cd Ru Y
1 2 1
Direct
0.500 0.500 0.000
0.000 0.000 0.747
0.000 0.000 0.253
0.500 0.500 0.500
```

Calculated values
Calculated total energy = -6.72 eV/atom
ΔE_f = 1.5 eV per formula unit
DOS at the Fermi energy = 0.968 states/eV/atom
Density = 9.726 g/cm³

=====

Below is a relaxed Mn2SCl crystal, with properties calculated at the PBEsol level.

Structure (POSCAR):
```
Mn2SCl
1.0
-4.330 1.066 -0.016
-2.919 -2.563 -2.190
-2.919 -2.494 2.269
Cl Mn S
1 2 1
Direct
0.500 0.500 0.500
0.750 0.750 0.750
0.250 0.250 0.250
0.000 0.000 0.000
```

Calculated values
Calculated total energy = -6.45 eV/atom
Formation energy without anion corrections = 0.025 eV per atom
DOS at the Fermi energy = 0.729 states/eV/atom
Density = 4.697 g/cm³